GeTeP2O | Alexandria | PBE | optimized geometry; energy = -20.70 eV/f.u.; formation energy from raw total energies = 2.834 eV per formula unit; crystal system = tetragonal; energy relative to the lowest polymorph listed for this composition = 8.80 kcal/mol of atoms
1.0
5.137 0.000 0.000
0.000 5.137 0.000
0.000 0.000 3.939
Ge Te P O
1 1 2 1
Cartesian
0.000 0.000 0.000
2.568 2.568 1.970
0.000 2.568 1.970
2.568 0.000 1.970
2.568 2.568 0.000

=====

GeTe2PO | Alexandria | PBE | optimized geometry; energy = -20.14 eV/f.u.; formation energy from raw total energies = 1.130 eV per formula unit; crystal system = tetragonal
1.0
5.490 0.000 0.000
0.000 5.490 0.000
0.000 0.000 3.626
Ge Te P O
1 2 1 1
Cartesian
0.000 0.000 0.000
0.000 2.745 0.000
2.745 0.000 0.000
2.745 2.745 1.813
0.000 0.000 1.813